A) ScTcIr: optimized geometry, GGA-PBE.

Unit cell a=4.8892 b=4.8892 c=5.1606 alpha=101.34 beta=101.34 gamma=56.59
Atoms (fractional coordinates):
Sc: 0.1372 0.1372 0.3294
Sc: 0.8628 0.8628 0.6706
Tc: 0.4652 0.4652 0.2601
Tc: 0.5348 0.5348 0.7399
Ir: 0.2098 0.2098 0.8481
Ir: 0.7902 0.7902 0.1519

Results
Space group   C2/m, No. 12
Calculated density   11.09 g/cm3


B) ScTcIr: optimized geometry, GGA-PBE.

Unit cell a=4.3191 b=4.3191 c=4.3191 alpha=60.00 beta=60.00 gamma=60.00
Atoms (fractional coordinates):
Sc: 0.0000 0.0000 0.0000
Tc: 0.2500 0.2500 0.2500
Ir: 0.7500 0.7500 0.7500

Results
Space group   F-43m, No. 216
Calculated density   9.77 g/cm3


C) ScTcIr: optimized geometry, GGA-PBE.

Unit cell a=4.3246 b=4.3246 c=4.3246 alpha=60.00 beta=60.00 gamma=60.00
Atoms (fractional coordinates):
Sc: 0.0000 0.0000 0.0000
Tc: 0.5000 0.5000 0.5000
Ir: 0.7500 0.7500 0.7500

Results
Space group   F-43m, No. 216
Calculated density   9.73 g/cm3


Q: Which of them is the least stable? A: B).